VASP calculation (PBE) on a relaxed TaSiIr crystal.

Computed properties:
The total energy is -0.6457 Ry/atom.

a b c (Å): 4.4876 4.4876 5.2737
angles (deg): 90.00 90.00 120.00
Element x y z (fractional)
Ir (0.0000, 0.0000, 0.5000)
Si (0.6667, 0.3333, 0.7500)
Ir (0.0000, 0.0000, 0.0000)
Ta (0.6667, 0.3333, 0.2500)
Ta (0.3333, 0.6667, 0.7500)
Si (0.3333, 0.6667, 0.2500)